Cr4TcIr after structural relaxation, computed with GGA-PBEsol.

Output
**Density**: 11.47 g/cm³
**ΔH_f (0 K)**: -1.7 kcal/mol of atoms
**Final energy**: -62.5 eV/cell
**Space-group type**: F-43m, No. 216
**Crystal system**: cubic

a b c (Å): 4.6720 4.6720 4.6720
angles (deg): 60.00 60.00 60.00
With the nearest neighbours (Å) after each atom.
Atoms (fractional coordinates):
Cr: 0.3742 0.3742 0.3742  6 Cr 2.32-2.35
Cr: 0.3742 0.3742 0.8773  6 Cr 2.32-2.35
Cr: 0.8773 0.3742 0.3742  6 Cr 2.32-2.35
Cr: 0.3742 0.8773 0.3742  6 Cr 2.32-2.35
Ir: 0.7500 0.7500 0.7500  12 Cr 2.74, 4 Tc 2.86
Tc: 0.0000 0.0000 0.0000  12 Cr 2.74, 4 Ir 2.86

***

CrTcIr after structural relaxation, computed with GGA-PBEsol.

Output
**Density**: 14.19 g/cm³
**ΔH_f (0 K)**: 3.8 kcal/mol of atoms
**Final energy**: -30.8 eV/cell
**Space-group type**: I4mm, No. 107
**Crystal system**: tetragonal

a b c (Å): 2.9492 2.9492 5.0540
angles (deg): 106.96 106.96 90.00
With the nearest neighbours (Å) after each atom.
Atoms (fractional coordinates):
Cr: 0.9852 0.9852 0.9705  4 Tc 2.40, 4 Ir 2.63
Ir: 0.6596 0.6596 0.3192  4 Cr 2.63, 5 Tc 2.76-2.80
Tc: 0.3552 0.3552 0.7103  4 Cr 2.40